A) The following is a PBE+U calculation of a relaxed structure of CrI2O, from Alexandria via LeMat-Bulk.

a b c (Å): 6.346 6.346 7.662
angles (deg): 65.54 65.54 90.00
Atoms (fractional coordinates):
O: 0.500 0.500 0.000
O: 0.250 0.750 0.500
I: 0.624 0.125 0.250
I: 0.875 0.874 0.750
I: 0.375 0.376 0.750
I: 0.126 0.625 0.250
Cr: 0.750 0.250 0.500
Cr: 0.000 0.000 0.000

Output
* crystal system: tetragonal
* total magnetic moment: 4.00 μB/cell
* space group: I-42d, No. 122
* calculated volume: 31.26 A^3/atom

=====

B) The following is a PBE+U calculation of a relaxed structure of CrI2O, from Alexandria via LeMat-Bulk.

a b c (Å): 5.020 5.020 5.020
angles (deg): 60.00 60.00 60.00
Atoms (fractional coordinates):
I: 0.750 0.750 0.750
I: 0.250 0.250 0.250
O: 0.000 0.000 0.000
Cr: 0.500 0.500 0.500

Output
* crystal system: cubic
* total magnetic moment: 2.00 μB/cell
* space group: Fm-3m, No. 225
* calculated volume: 22.37 A^3/atom

=====

Q: What are the energies relative to the best structure? A: A) 0; B) 161, in meV per atom.